Entry from Alexandria via LeMat-Bulk: a relaxed structure of TcRhW2 (GGA-PBEsol).

Properties
SG	F-43m (216)
calculated density	15.9	g/cm3
total energy	-11.50	eV/atom

```
TcRhW2
1.0
0.000 3.098 3.098
3.098 0.000 3.098
3.098 3.098 0.000
Tc Rh W
1 1 2
direct
0.000 0.000 0.000
0.250 0.250 0.250
0.500 0.500 0.500
0.750 0.750 0.750
```

Entry from Alexandria via LeMat-Bulk: a relaxed structure of ZnFe3Ge (GGA-PBEsol).

Properties
SG	Pm-3m (221)
calculated density	6.4	g/cm3
total energy	-5.71	eV/atom

```
ZnFe3Ge
1.0
4.295 0.000 0.000
0.000 4.295 0.000
0.000 0.000 4.295
Zn Fe Ge
1 3 1
direct
0.000 0.000 0.000
0.000 0.500 0.500
0.500 0.000 0.500
0.500 0.500 0.000
0.500 0.500 0.500
```

Entry from Alexandria via LeMat-Bulk: a relaxed structure of BePb2W (GGA-PBEsol).

Properties
SG	Amm2 (38)
calculated density	13.2	g/cm3
total energy	-5.78	eV/atom

```
BePb2W
1.0
3.778 0.000 0.000
0.000 1.921 5.251
0.000 -1.921 5.251
Be Pb W
1 2 1
direct
0.000 0.000 0.000
0.000 0.735 0.735
0.500 0.434 0.434
0.500 0.144 0.144
```

Entry from Alexandria via LeMat-Bulk: a relaxed structure of CaNb3Ru (GGA-PBEsol).

Properties
SG	Pm-3m (221)
calculated density	7.4	g/cm3
total energy	-6.48	eV/atom

```
CaNb3Ru
1.0
4.551 0.000 0.000
0.000 4.551 0.000
0.000 0.000 4.551
Ca Nb Ru
1 3 1
direct
0.000 0.000 0.000
0.000 0.000 0.500
0.000 0.500 0.000
0.500 0.000 0.000
0.500 0.500 0.500
```